The following is a PBE-GGA calculation of an optimized crystal structure of BeBiPt3, from Alexandria via LeMat-Bulk.

Cell lengths 5.6102, 5.6121, 10.9235 Å; angles 90.00, 104.86, 90.00 degrees
With the nearest neighbours (Å) after each atom.
Space group C2 (No. 5)
Unique sites:
Be 0.0000 0.9998 0.0000 x2  8 Pt 2.44-2.45
Be 0.0000 0.5000 0.0000 x2  8 Pt 2.45
Bi 0.1941 0.0007 0.3891 x4  5 Pt 2.87-2.95
Pt 0.1654 0.5007 0.3315 x4  4 Pt 2.86-2.87, 5 Bi 2.87-2.95
Pt 0.1823 0.2502 0.8645 x4  4 Be 2.44-2.45
Pt 0.1824 0.7502 0.8645 x4  4 Be 2.45

Its spin magnetization is 0.0 μB per formula unit. The value obtained for the formation energy from the elements is -431 meV per atom. The value obtained for the energy above the most stable polymorph in this dataset is 0 kJ/mol of formula units.


The following is a PBE-GGA calculation of an optimized crystal structure of Ce2CoGe3Ir4, from Alexandria via LeMat-Bulk.

Cell lengths 4.1739, 4.1739, 10.3403 Å; angles 90.00, 90.00, 90.00 degrees
With the nearest neighbours (Å) after each atom.
Space group P-4m2 (No. 115)
Unique sites:
Ce 0.0000 0.5000 0.2436 x2  8 Ir 3.17-3.37, 6 Ge 3.22-3.27, 2 Co 3.27
Co 0.5000 0.5000 0.0000 x1  4 Ir 2.49
Ge 0.0000 0.0000 0.0000 x1  4 Ir 2.49
Ge 0.0000 0.5000 0.6324 x2  5 Ir 2.45-2.50
Ir 0.0000 0.0000 0.5000 x1  4 Ge 2.50
Ir 0.0000 0.5000 0.8692 x2  3 Ge 2.45-2.49, 2 Co 2.49
Ir 0.5000 0.5000 0.5000 x1  4 Ge 2.50

Its spin magnetization is 2.1 μB per formula unit. The value obtained for the formation energy from the elements is -668 meV per atom.


The following is a PBE-GGA calculation of an optimized crystal structure of ScRuBr2, from Alexandria via LeMat-Bulk.

Cell lengths 3.3404, 6.0388, 8.7125 Å; angles 90.00, 90.00, 90.00 degrees
With the nearest neighbours (Å) after each atom.
Space group Cmmm (No. 65)
Unique sites:
Sc 0.0000 0.0000 0.0000 x2  4 Br 2.74
Ru 0.0000 0.0000 0.5000 x2  4 Br 2.75
Br 0.0000 0.5000 0.2489 x4  2 Sc 2.74, 2 Ru 2.75

Its spin magnetization is 2.4 μB per formula unit. The calculation puts the uncorrected formation energy at 0.175 eV per atom. The value obtained for the energy above the most stable polymorph in this dataset is 286 kJ/mol of formula units.


The following is a PBE-GGA calculation of an optimized crystal structure of La2YTc, from Alexandria via LeMat-Bulk.

Cell lengths 3.8198, 4.4021, 6.9042 Å; angles 90.00, 102.67, 90.00 degrees
With the nearest neighbours (Å) after each atom.
Space group P2/m (No. 10)
Unique sites:
La 0.1150 0.0000 0.2922 x2  2 Tc 2.85, 1 La 3.18
Y 0.5000 0.5000 0.0000 x1  2 Tc 3.45, 8 La 3.51-3.52, 2 Y 3.82
Tc 0.5000 0.5000 0.5000 x1  4 La 2.85

Its spin magnetization is 0.0 μB per formula unit. The value obtained for the formation energy from the elements is 212 meV per atom. The value obtained for the energy above the most stable polymorph in this dataset is 97 kJ/mol of formula units.